# 1
The following is a PBE calculation of an optimized crystal structure of AcPrSnCl, from Alexandria.

abc: 5.541 5.541 5.541
angles: 60.00 60.00 60.00
Fractional positions:
Pr 0.250 0.250 0.250
Sn 0.500 0.500 0.500
Ac 0.750 0.750 0.750
Cl 0.000 0.000 0.000

- SG: F-43m
- Formation energy without anion corrections: -1039 meV/atom



# 2
The following is a PBE calculation of an optimized crystal structure of Ca2PmReN4, from Alexandria.

abc: 3.425 6.162 12.194
angles: 90.00 90.00 106.14
Fractional positions:
N 0.000 0.000 0.000
N 0.731 0.462 0.869
N 0.731 0.462 0.631
N 0.420 0.839 0.750
N 0.269 0.538 0.131
N 0.269 0.538 0.369
N 0.000 0.000 0.500
N 0.580 0.161 0.250
Pm 0.921 0.842 0.250
Pm 0.079 0.158 0.750
Re 0.177 0.354 0.250
Re 0.823 0.646 0.750
Ca 0.374 0.748 0.534
Ca 0.374 0.748 0.966
Ca 0.626 0.252 0.034
Ca 0.626 0.252 0.466

- SG: Cmcm
- Formation energy without anion corrections: -716 meV/atom



# 3
The following is a PBE calculation of an optimized crystal structure of LiHfCr2Ga, from Alexandria.

abc: 4.750 5.082 4.750
angles: 90.00 90.00 90.00
Fractional positions:
Hf 0.000 0.500 0.000
Li 0.500 0.500 0.500
Ga 0.000 0.000 0.000
Cr 0.500 0.000 0.000
Cr 0.000 0.000 0.500

- SG: P4/mmm
- ΔE_f: 96 kJ/mol of atoms



Values of calculated density, in order: 7.2; 6.3; 5.2, all in g/cm3.
Values of DOS at the Fermi energy, in order: 2.3; 3.4; 7.5, all in states/eV per cell.